Crystalline Th8RuRh3Se4 at its relaxed geometry. Source: Alexandria, functional GGA-PBE.

Summary:
Formation energy from raw total energies = -1.201 eV per atom
DOS(E_F) = 11.67 states/eV/cell
Uncorrected energy = -7.7404 eV/atom
Total magnetization = 0.00 μB/cell

Unit cell a=8.207 b=8.207 c=8.758 alpha=117.94 beta=117.94 gamma=60.00
Positions (direct):
Th: 0.237 0.237 0.718
Th: 0.238 0.743 0.719
Th: 0.257 0.762 0.281
Th: 0.260 0.260 0.282
Th: 0.740 0.740 0.718
Th: 0.743 0.238 0.719
Th: 0.762 0.257 0.281
Th: 0.763 0.763 0.282
Ru: 0.000 0.000 0.500
Rh: 0.000 0.500 0.500
Rh: 0.500 0.000 0.500
Rh: 0.500 0.500 0.500
Se: 0.000 0.000 0.000
Se: 0.000 0.500 0.000
Se: 0.500 0.000 0.000
Se: 0.500 0.500 0.000

Crystalline Tb3YHo2S6 at its relaxed geometry. Source: Alexandria, functional GGA-PBE.

Summary:
Formation energy from raw total energies = -2.000 eV per atom
DOS(E_F) = 4.88 states/eV/cell
Uncorrected energy = -6.5225 eV/atom
Total magnetization = 0.00 μB/cell

Unit cell a=6.777 b=6.777 c=6.776 alpha=99.56 beta=99.56 gamma=120.21
Positions (direct):
Tb: 0.000 0.000 0.000
Tb: 0.334 0.666 0.000
Tb: 0.666 0.334 0.000
Y: 0.500 0.500 0.500
Ho: 0.167 0.833 0.500
Ho: 0.833 0.167 0.500
S: 0.082 0.418 0.253
S: 0.247 0.247 0.746
S: 0.418 0.082 0.253
S: 0.582 0.918 0.747
S: 0.753 0.753 0.254
S: 0.918 0.582 0.747

Crystalline Ag14GeAu at its relaxed geometry. Source: Alexandria, functional GGA-PBE.

Summary:
DOS(E_F) = 7.40 states/eV/cell
Uncorrected energy = -2.9443 eV/atom
Total magnetization = 0.00 μB/cell

Unit cell a=9.644 b=5.860 c=5.860 alpha=59.85 beta=90.00 gamma=90.00
Positions (direct):
Ag: 0.000 0.000 0.000
Ag: 0.000 0.000 0.499
Ag: 0.000 0.499 0.000
Ag: 0.000 0.500 0.500
Ag: 0.248 0.834 0.834
Ag: 0.249 0.333 0.333
Ag: 0.249 0.333 0.834
Ag: 0.249 0.834 0.333
Ag: 0.500 0.170 0.670
Ag: 0.500 0.670 0.170
Ag: 0.751 0.333 0.333
Ag: 0.751 0.333 0.834
Ag: 0.751 0.834 0.333
Ag: 0.752 0.834 0.834
Ge: 0.500 0.172 0.172
Au: 0.500 0.670 0.670

Crystalline Na3Tl3CdO8 at its relaxed geometry. Source: Alexandria, functional GGA-PBE.

Summary:
Formation energy from raw total energies = -0.868 eV per atom
DOS(E_F) = 6.03 states/eV/cell
Uncorrected energy = -4.3102 eV/atom
Total magnetization = 2.13 μB/cell

Unit cell a=6.829 b=6.829 c=6.829 alpha=59.73 beta=59.73 gamma=59.73
Positions (direct):
Na: 0.000 0.500 0.500
Na: 0.500 0.000 0.500
Na: 0.500 0.500 0.000
Tl: 0.000 0.000 0.500
Tl: 0.000 0.500 0.000
Tl: 0.500 0.000 0.000
Cd: 0.500 0.500 0.500
O: 0.241 0.241 0.241
O: 0.252 0.731 0.731
O: 0.269 0.269 0.748
O: 0.269 0.748 0.269
O: 0.731 0.252 0.731
O: 0.731 0.731 0.252
O: 0.748 0.269 0.269
O: 0.759 0.759 0.759

Crystalline KNaLa2Cl8 at its relaxed geometry. Source: Alexandria, functional GGA-PBE.

Summary:
Formation energy from raw total energies = -2.204 eV per atom
DOS(E_F) = 0.00 states/eV/cell
Uncorrected energy = -4.4581 eV/atom
Total magnetization = 0.00 μB/cell

Unit cell a=6.806 b=8.881 c=6.835 alpha=90.00 beta=93.67 gamma=90.00
Positions (direct):
K: 0.000 0.000 0.000
Na: 0.000 0.500 0.000
La: 0.500 0.254 0.500
La: 0.500 0.746 0.500
Cl: 0.205 0.270 0.212
Cl: 0.205 0.730 0.212
Cl: 0.317 0.500 0.687
Cl: 0.325 0.000 0.679
Cl: 0.675 0.000 0.321
Cl: 0.683 0.500 0.313
Cl: 0.795 0.270 0.788
Cl: 0.795 0.730 0.788

Crystalline Pm2HoRu at its relaxed geometry. Source: Alexandria, functional GGA-PBE.

Summary:
ΔE to the lowest computed polymorph = 443 meV per atom
DOS(E_F) = 5.94 states/eV/cell
Uncorrected energy = -5.6440 eV/atom
Total magnetization = 0.00 μB/cell

Unit cell a=10.881 b=10.881 c=10.881 alpha=18.92 beta=18.92 gamma=18.92
Positions (direct):
Pm: 0.106 0.106 0.106
Pm: 0.894 0.894 0.894
Ho: 0.000 0.000 0.000
Ru: 0.500 0.500 0.500

Crystalline POsW2 at its relaxed geometry. Source: Alexandria, functional GGA-PBE.

Summary:
DOS(E_F) = 3.00 states/eV/cell
Uncorrected energy = -10.3173 eV/atom
Total magnetization = 0.00 μB/cell

Unit cell a=4.768 b=4.768 c=2.881 alpha=90.00 beta=90.00 gamma=115.22
Positions (direct):
P: 0.000 0.000 0.000
Os: 0.500 0.500 0.000
W: 0.000 0.500 0.500
W: 0.500 0.000 0.500

Crystalline LiHfIr3 at its relaxed geometry. Source: Alexandria, functional GGA-PBE.

Summary:
ΔE to the lowest computed polymorph = 1251 meV per atom
DOS(E_F) = 7.98 states/eV/cell
Uncorrected energy = -6.4633 eV/atom
Total magnetization = 0.00 μB/cell

Unit cell a=4.867 b=4.867 c=4.867 alpha=90.00 beta=90.00 gamma=90.00
Positions (direct):
Li: 0.000 0.000 0.000
Hf: 0.500 0.500 0.500
Ir: 0.000 0.500 0.500
Ir: 0.500 0.000 0.500
Ir: 0.500 0.500 0.000